[1]
# CrSbS2

A geometry-optimized CrSbS2 structure (GGA-PBEsol, Alexandria).

Properties
As for the raw formation energy: -45.2 kJ/mol of atoms.

Cell lengths 3.4178, 3.4178, 23.8500 Å; angles 90.00, 90.00, 120.00 degrees
Space group R-3m (No. 166, hexagonal axes)
One atom of each set of equivalent atoms:
Cr 0.0000 0.0000 0.0000 (multiplicity 3)
Sb 0.0000 0.0000 0.5000 (multiplicity 3)
S 0.0000 0.0000 0.3869 (multiplicity 6)

[2]
# CdReIr3

A geometry-optimized CdReIr3 structure (GGA-PBEsol, Alexandria).

Properties
The formation energy is 3.07 eV/atom.

Cell lengths 4.6623, 4.6623, 4.6623 Å; angles 90.00, 90.00, 90.00 degrees
Space group Pm-3m (No. 221)
One atom of each set of equivalent atoms:
Cd 0.0000 0.0000 0.0000 (multiplicity 1)
Re 0.5000 0.5000 0.5000 (multiplicity 1)
Ir 0.0000 0.0000 0.5000 (multiplicity 3)

[3]
# LiMg2Cr

A geometry-optimized LiMg2Cr structure (GGA-PBEsol, Alexandria).

Properties
The formation energy is 0.38 eV/atom.

Cell lengths 6.7091, 6.7091, 6.7091 Å; angles 90.00, 90.00, 90.00 degrees
Space group F-43m (No. 216)
One atom of each set of equivalent atoms:
Li 0.0000 0.0000 0.0000 (multiplicity 4)
Mg 0.0000 0.0000 0.5000 (multiplicity 4)
Mg 0.2500 0.2500 0.7500 (multiplicity 4)
Cr 0.2500 0.2500 0.2500 (multiplicity 4)

[4]
# Ni2AgMo

A geometry-optimized Ni2AgMo structure (GGA-PBEsol, Alexandria).

Properties
Its energy above the most stable polymorph in this dataset is 108 meV per atom. The formation energy is 0.32 eV/atom.

Cell lengths 3.6211, 3.6211, 7.9067 Å; angles 90.00, 90.00, 90.00 degrees
Space group I-4m2 (No. 119)
One atom of each set of equivalent atoms:
Ni 0.0000 0.0000 0.0000 (multiplicity 2)
Ni 0.0000 0.5000 0.2500 (multiplicity 2)
Ag 0.0000 0.0000 0.5000 (multiplicity 2)
Mo 0.0000 0.5000 0.7500 (multiplicity 2)

[5]
# CsSe2BrF

A geometry-optimized CsSe2BrF structure (GGA-PBEsol, Alexandria).

Properties
As for the raw formation energy: -36.7 kJ/mol of atoms.

Cell lengths 4.5749, 4.5749, 6.5088 Å; angles 90.00, 90.00, 90.00 degrees
Space group P4/mmm (No. 123)
One atom of each set of equivalent atoms:
Cs 0.0000 0.0000 0.0000 (multiplicity 1)
Se 0.0000 0.5000 0.5000 (multiplicity 2)
Br 0.5000 0.5000 0.0000 (multiplicity 1)
F 0.5000 0.5000 0.5000 (multiplicity 1)

[6]
# YRuRhPb2

A geometry-optimized YRuRhPb2 structure (GGA-PBEsol, Alexandria).

Properties
The formation energy is 0.52 eV/atom.

Cell lengths 5.0585, 5.0585, 5.0488 Å; angles 90.00, 90.00, 90.00 degrees
Space group P4/mmm (No. 123)
One atom of each set of equivalent atoms:
Y 0.0000 0.0000 0.0000 (multiplicity 1)
Ru 0.0000 0.0000 0.5000 (multiplicity 1)
Rh 0.5000 0.5000 0.0000 (multiplicity 1)
Pb 0.0000 0.5000 0.5000 (multiplicity 2)

[7]
# Ta2TcW

A geometry-optimized Ta2TcW structure (GGA-PBEsol, Alexandria).

Properties
Its energy above the most stable polymorph in this dataset is 51 meV per atom. The formation energy is -0.23 eV/atom.

Cell lengths 3.1723, 4.4726, 9.0849 Å; angles 90.00, 90.00, 90.00 degrees
Space group Imm2 (No. 44)
One atom of each set of equivalent atoms:
Ta 0.0000 0.0000 0.0000 (multiplicity 2)
Ta 0.0000 0.5000 0.2419 (multiplicity 2)
Tc 0.0000 0.5000 0.7471 (multiplicity 2)
W 0.0000 0.0000 0.4904 (multiplicity 2)

[8]
# Cu3TeS3Cl

A geometry-optimized Cu3TeS3Cl structure (GGA-PBEsol, Alexandria).

Properties
As for the raw formation energy: -22.4 kJ/mol of atoms.

Cell lengths 7.2654, 7.2654, 10.1204 Å; angles 90.00, 90.00, 120.00 degrees
Space group R3m (No. 160, hexagonal axes)
One atom of each set of equivalent atoms:
Cu 0.1926 0.3851 0.0000 (multiplicity 9)
Te 0.0000 0.0000 0.6753 (multiplicity 3)
S 0.0012 0.5006 0.8899 (multiplicity 9)
Cl 0.0000 0.0000 0.9889 (multiplicity 3)

[9]
# LaTiGaSn2

A geometry-optimized LaTiGaSn2 structure (GGA-PBEsol, Alexandria).

Properties
The formation energy is 0.15 eV/atom.

Cell lengths 5.2188, 5.2188, 4.8529 Å; angles 90.00, 90.00, 90.00 degrees
Space group P4/mmm (No. 123)
One atom of each set of equivalent atoms:
La 0.0000 0.0000 0.0000 (multiplicity 1)
Ti 0.5000 0.5000 0.0000 (multiplicity 1)
Ga 0.5000 0.5000 0.5000 (multiplicity 1)
Sn 0.0000 0.5000 0.5000 (multiplicity 2)

[10]
# CdPHCl2

A geometry-optimized CdPHCl2 structure (GGA-PBEsol, Alexandria).

Properties
The total energy is -10.82 eV/cell.

Cell lengths 5.1407, 5.1407, 5.0657 Å; angles 90.00, 90.00, 90.00 degrees
Space group P4/mmm (No. 123)
One atom of each set of equivalent atoms:
Cd 0.0000 0.0000 0.0000 (multiplicity 1)
P 0.0000 0.0000 0.5000 (multiplicity 1)
H 0.5000 0.5000 0.5000 (multiplicity 1)
Cl 0.0000 0.5000 0.0000 (multiplicity 2)

[11]
# GaGe2BIr

A geometry-optimized GaGe2BIr structure (GGA-PBEsol, Alexandria).

Properties
The formation energy is 0.50 eV/atom.

Cell lengths 4.3880, 4.3880, 4.1124 Å; angles 90.00, 90.00, 90.00 degrees
Space group P4/mmm (No. 123)
One atom of each set of equivalent atoms:
Ga 0.0000 0.0000 0.0000 (multiplicity 1)
Ge 0.0000 0.5000 0.5000 (multiplicity 2)
B 0.5000 0.5000 0.5000 (multiplicity 1)
Ir 0.5000 0.5000 0.0000 (multiplicity 1)

[12]
# MgAl2Tl

A geometry-optimized MgAl2Tl structure (GGA-PBEsol, Alexandria).

Properties
The formation energy is 0.12 eV/atom.

Cell lengths 10.5387, 3.1407, 4.9931 Å; angles 90.00, 98.19, 90.00 degrees
Space group C2/m (No. 12)
One atom of each set of equivalent atoms:
Mg 0.0000 0.0000 0.0000 (multiplicity 2)
Al 0.2441 0.5000 0.2389 (multiplicity 4)
Tl 0.0000 0.5000 0.5000 (multiplicity 2)